Crystalline HfZr2HPd at its relaxed geometry, computed with PBE-GGA.

Cell lengths 4.4386, 4.4386, 4.2348 Å; angles 90.00, 90.00, 90.00 degrees
Closest atoms and distances in Å follow each position.
Space group P4/mmm (No. 123)
Inequivalent atoms, fractional coordinates:
1 Hf 0.0000 0.0000 0.0000 [1 per cell]  8 Zr 3.07, 4 Pd 3.14
2 Zr 0.0000 0.5000 0.5000 [2 per cell]  2 H 2.22
3 H 0.5000 0.5000 0.5000 [1 per cell]  2 Pd 2.12, 4 Zr 2.22
4 Pd 0.5000 0.5000 0.0000 [1 per cell]  2 H 2.12

Calculated values
* M_tot: 0.0 μB/f.u.
* energy relative to the lowest polymorph listed for this composition: 46 meV/atom


Crystalline AcPmPd4 at its relaxed geometry, computed with PBE-GGA.

Cell lengths 7.9161, 7.9161, 7.9161 Å; angles 90.00, 90.00, 90.00 degrees
Closest atoms and distances in Å follow each position.
Space group F-43m (No. 216)
Inequivalent atoms, fractional coordinates:
1 Ac 0.0000 0.0000 0.0000 [4 per cell]  12 Pd 3.28, 4 Pm 3.43
2 Pm 0.2500 0.2500 0.2500 [4 per cell]  12 Pd 3.28, 4 Ac 3.43
3 Pd 0.1248 0.1248 0.6248 [16 per cell]  6 Pd 2.79-2.80

Calculated values
* formation energy from the elements: -0.7625 eV per atom
* M_tot: 0.0 μB/f.u.
* energy relative to the lowest polymorph listed for this composition: 28 meV/atom


Crystalline ErGeBi at its relaxed geometry, computed with PBE-GGA.

Cell lengths 4.8024, 4.8024, 4.0879 Å; angles 90.00, 90.00, 120.00 degrees
Closest atoms and distances in Å follow each position.
Space group P3m1 (No. 156)
Inequivalent atoms, fractional coordinates:
1 Er 0.0000 0.0000 0.0000 [1 per cell]  3 Ge 2.96
2 Ge 0.6667 0.3333 0.2559 [1 per cell]  3 Er 2.96, 3 Bi 3.00
3 Bi 0.3333 0.6667 0.5371 [1 per cell]  3 Ge 3.00, 3 Er 3.36

Calculated values
* formation energy from the elements: -0.1837 eV per atom
* M_tot: 0.0 μB/f.u.
* energy relative to the lowest polymorph listed for this composition: 340 meV/atom


Crystalline Tb8P3Se3N at its relaxed geometry, computed with PBE-GGA.

Cell lengths 7.9220, 7.9220, 20.0015 Å; angles 90.00, 90.00, 120.00 degrees
Closest atoms and distances in Å follow each position.
Space group R-3m (No. 166, hexagonal axes)
Inequivalent atoms, fractional coordinates:
1 Tb 0.0000 0.0000 0.2426 [6 per cell]  3 P 2.75, 3 Se 2.92
2 Tb 0.0267 0.5134 0.2376 [18 per cell]  1 N 2.54, 2 P 2.77
3 P 0.0000 0.5000 0.5000 [9 per cell]  6 Tb 2.75-2.77
4 Se 0.0000 0.5000 0.0000 [9 per cell]  6 Tb 2.92
5 N 0.0000 0.0000 0.5000 [3 per cell]  6 Tb 2.54

Calculated values
* M_tot: 0.5 μB/f.u.
* raw formation energy: -1.569 eV/atom


Fermi-level density of states values, unit states/eV/atom, following the record order: 1.10, 0.15, 0.47, 0.61.
Theoretical density values, unit g cm⁻³, following the record order: 9.32, 10.68, 9.13, 7.40.